## Y2TlAg (PBE-GGA)

Data for a relaxed structure of Y2TlAg.

Cell: 5.265 5.265 3.745 Å, 90.00 90.00 90.00°
Space group P4/mmm (No. 123)
One atom of each set of equivalent atoms:
1 Y 0.000 0.500 0.000 [2 per cell]
2 Tl 0.000 0.000 0.500 [1 per cell]
3 Ag 0.500 0.500 0.500 [1 per cell]

For the formation enthalpy at 0 K, the calculation gives -0.3488 eV/atom. Its polymorph energy (0 for the lowest one) is 0.021 eV per atom. The uncorrected energy comes out at -4.8852 eV/atom.

***

## Y3TlAg2 (PBE-GGA)

Data for a relaxed structure of Y3TlAg2.

Cell: 3.641 3.641 11.453 Å, 90.00 90.00 90.00°
Space group P4/mmm (No. 123)
One atom of each set of equivalent atoms:
1 Y 0.000 0.000 0.000 [1 per cell]
2 Y 0.000 0.000 0.321 [2 per cell]
3 Tl 0.500 0.500 0.500 [1 per cell]
4 Ag 0.500 0.500 0.161 [2 per cell]

For the formation enthalpy at 0 K, the calculation gives -0.3467 eV/atom. Its polymorph energy (0 for the lowest one) is 0.005 eV per atom. The uncorrected energy comes out at -4.9236 eV/atom.

***

## Y2TlAg (PBE-GGA)

Data for a relaxed structure of Y2TlAg.

Cell: 3.8280 3.8280 26.7823 Å, 90.00 90.00 120.00°
Space group R-3m (No. 166, hexagonal axes)
One atom of each set of equivalent atoms:
1 Y 0.0000 0.0000 0.2437 [6 per cell]
2 Tl 0.0000 0.0000 0.0000 [3 per cell]
3 Ag 0.0000 0.0000 0.5000 [3 per cell]

For the formation enthalpy at 0 K, the calculation gives -0.1646 eV/atom. Its polymorph energy (0 for the lowest one) is 0.206 eV per atom. The uncorrected energy comes out at -4.7010 eV/atom.

***

## YTl2Ag (PBE-GGA)

Data for a relaxed structure of YTl2Ag.

Cell: 7.376 7.376 7.376 Å, 90.00 90.00 90.00°
Space group F-43m (No. 216)
One atom of each set of equivalent atoms:
1 Y 0.000 0.000 0.000 [4 per cell]
2 Tl 0.000 0.000 0.500 [4 per cell]
3 Tl 0.250 0.250 0.250 [4 per cell]
4 Ag 0.250 0.250 0.750 [4 per cell]

For the formation enthalpy at 0 K, the calculation gives -0.1215 eV/atom. The uncorrected energy comes out at -3.6334 eV/atom.

***

## YTl2Ag (PBE-GGA)

Data for a relaxed structure of YTl2Ag.

Cell: 3.660 3.660 7.397 Å, 90.00 90.00 90.00°
Space group P4/mmm (No. 123)
One atom of each set of equivalent atoms:
1 Y 0.000 0.000 0.000 [1 per cell]
2 Tl 0.500 0.500 0.273 [2 per cell]
3 Ag 0.000 0.000 0.500 [1 per cell]

For the formation enthalpy at 0 K, the calculation gives -0.0972 eV/atom. The uncorrected energy comes out at -3.6092 eV/atom.

***

## YTl2Ag (PBE-GGA)

Data for a relaxed structure of YTl2Ag.

Cell: 3.759 3.960 6.997 Å, 90.00 90.00 90.00°
Space group Pmm2 (No. 25)
One atom of each set of equivalent atoms:
1 Y 0.000 0.000 0.000 [1 per cell]
2 Tl 0.000 0.000 0.463 [1 per cell]
3 Tl 0.500 0.500 0.737 [1 per cell]
4 Ag 0.500 0.500 0.224 [1 per cell]

For the formation enthalpy at 0 K, the calculation gives -0.1212 eV/atom. The uncorrected energy comes out at -3.6332 eV/atom.

***

## YTl2Ag (PBE-GGA)

Data for a relaxed structure of YTl2Ag.

Cell: 9.961 3.846 5.707 Å, 90.00 109.76 90.00°
Space group C2/m (No. 12)
One atom of each set of equivalent atoms:
1 Y 0.000 0.000 0.000 [2 per cell]
2 Tl 0.233 0.000 0.725 [4 per cell]
3 Ag 0.000 0.500 0.500 [2 per cell]

For the formation enthalpy at 0 K, the calculation gives -0.0920 eV/atom. The uncorrected energy comes out at -3.6039 eV/atom.

***

## YTl2Ag (PBE-GGA)

Data for a relaxed structure of YTl2Ag.

Cell: 3.5469 3.5469 28.6828 Å, 90.00 90.00 120.00°
Space group R-3m (No. 166, hexagonal axes)
One atom of each set of equivalent atoms:
1 Y 0.0000 0.0000 0.0000 [3 per cell]
2 Tl 0.0000 0.0000 0.2429 [6 per cell]
3 Ag 0.0000 0.0000 0.5000 [3 per cell]

For the formation enthalpy at 0 K, the calculation gives 0.0094 eV/atom. The uncorrected energy comes out at -3.5026 eV/atom.

***

## Y2TlAg (PBE-GGA)

Data for a relaxed structure of Y2TlAg.

Cell: 3.6676 3.6676 29.1477 Å, 90.00 90.00 120.00°
Space group R3m (No. 160, hexagonal axes)
One atom of each set of equivalent atoms:
1 Y 0.0000 0.0000 0.0000 [3 per cell]
2 Y 0.0000 0.0000 0.2347 [3 per cell]
3 Tl 0.0000 0.0000 0.7541 [3 per cell]
4 Ag 0.0000 0.0000 0.4928 [3 per cell]

For the formation enthalpy at 0 K, the calculation gives -0.0403 eV/atom. Its polymorph energy (0 for the lowest one) is 0.330 eV per atom. The uncorrected energy comes out at -4.5767 eV/atom.

***

## YTl2Ag (PBE-GGA)

Data for a relaxed structure of YTl2Ag.

Cell: 3.840 5.526 9.716 Å, 90.00 90.00 90.00°
Space group Immm (No. 71)
One atom of each set of equivalent atoms:
1 Y 0.000 0.000 0.000 [2 per cell]
2 Tl 0.000 0.500 0.231 [4 per cell]
3 Ag 0.000 0.000 0.500 [2 per cell]

For the formation enthalpy at 0 K, the calculation gives -0.0857 eV/atom. The uncorrected energy comes out at -3.5977 eV/atom.

***

## Y7Tl2Ag2 (PBE-GGA)

Data for a relaxed structure of Y7Tl2Ag2.

Cell: 8.139 11.324 7.335 Å, 90.00 90.00 90.00°
Space group Cmmm (No. 65)
One atom of each set of equivalent atoms:
1 Y 0.000 0.000 0.000 [2 per cell]
2 Y 0.000 0.500 0.250 [4 per cell]
3 Y 0.250 0.250 0.267 [8 per cell]
4 Tl 0.181 0.000 0.500 [4 per cell]
5 Ag 0.000 0.291 0.000 [4 per cell]

For the formation enthalpy at 0 K, the calculation gives -0.0069 eV/atom. The uncorrected energy comes out at -5.0690 eV/atom.

***

## YTl2Ag (PBE-GGA)

Data for a relaxed structure of YTl2Ag.

Cell: 3.421 4.934 6.197 Å, 90.00 94.94 90.00°
Space group Pm (No. 6)
One atom of each set of equivalent atoms:
1 Y 0.000 0.000 0.000 [1 per cell]
2 Tl 0.379 0.500 0.742 [1 per cell]
3 Tl 0.629 0.000 0.475 [1 per cell]
4 Ag 0.525 0.500 0.216 [1 per cell]

For the formation enthalpy at 0 K, the calculation gives -0.0980 eV/atom. The uncorrected energy comes out at -3.6100 eV/atom.